(1)
# Dy2Ga8Pt (PBE, optimized geometry)
# formation energy = -0.557 eV per atom
data_Dy2Ga8Pt
_space_group_name_H-M_alt 'P 4/m m m'
_space_group_IT_number 123
_space_group_name_Hall '-P 4 2'
_cell_length_a 4.3344
_cell_length_b 4.3344
_cell_length_c 11.1501
_cell_angle_alpha 90.00
_cell_angle_beta 90.00
_cell_angle_gamma 90.00
loop_
_atom_site_label
_atom_site_type_symbol
_atom_site_fract_x
_atom_site_fract_y
_atom_site_fract_z
_atom_site_occupancy
Dy1 Dy 0.0000 0.0000 0.1905 1
Ga1 Ga 0.0000 0.5000 0.0000 1
Ga2 Ga 0.0000 0.5000 0.3733 1
Ga3 Ga 0.5000 0.5000 0.1928 1
Pt1 Pt 0.0000 0.0000 0.5000 1

---

(2)
# BrCl2F (PBE, optimized geometry)
# energy above the most stable polymorph in this dataset = 0.317 eV/atom
# raw formation energy = 0.1829 eV per atom
data_BrCl2F
_space_group_name_H-M_alt 'R -3 m'
_space_group_IT_number 166
_space_group_name_Hall '-R 3 2"'
_cell_length_a 4.0525
_cell_length_b 4.0525
_cell_length_c 22.7843
_cell_angle_alpha 90.00
_cell_angle_beta 90.00
_cell_angle_gamma 120.00
loop_
_atom_site_label
_atom_site_type_symbol
_atom_site_fract_x
_atom_site_fract_y
_atom_site_fract_z
_atom_site_occupancy
Br1 Br 0.0000 0.0000 0.0000 1
Cl1 Cl 0.0000 0.0000 0.1014 1
F1 F 0.0000 0.0000 0.5000 1

---

(3)
# PmSm3Er2 (PBE, optimized geometry)
# energy above the most stable polymorph in this dataset = 0.000 eV/atom
# formation energy = 0.018 eV per atom
data_PmSm3Er2
_space_group_name_H-M_alt 'C 1 2/c 1'
_space_group_IT_number 15
_cell_length_a 17.6021
_cell_length_b 7.1785
_cell_length_c 6.2132
_cell_angle_alpha 90.00
_cell_angle_beta 90.14
_cell_angle_gamma 90.00
loop_
_space_group_symop_operation_xyz
'x,y,z'
'-x,-y,-z'
'-x,y,-z+1/2'
'x,-y,z+1/2'
'x+1/2,y+1/2,z'
'-x+1/2,-y+1/2,-z'
'-x+1/2,y+1/2,-z+1/2'
'x+1/2,-y+1/2,z+1/2'
loop_
_atom_site_label
_atom_site_type_symbol
_atom_site_fract_x
_atom_site_fract_y
_atom_site_fract_z
_atom_site_occupancy
Pm1 Pm 0.0000 0.1260 0.2500 1
Sm1 Sm 0.0000 0.3758 0.7500 1
Sm2 Sm 0.1679 0.1256 0.9162 1
Er1 Er 0.1674 0.3758 0.4175 1

---

(4)
# SrLi (PBE, optimized geometry)
# energy above the most stable polymorph in this dataset = 0.051 eV/atom
# formation energy = 0.078 eV per atom
data_SrLi
_space_group_name_H-M_alt 'P 63/m m c'
_space_group_IT_number 194
_space_group_name_Hall '-P 6c 2c'
_cell_length_a 9.7745
_cell_length_b 9.7745
_cell_length_c 5.7320
_cell_angle_alpha 90.00
_cell_angle_beta 90.00
_cell_angle_gamma 120.00
loop_
_atom_site_label
_atom_site_type_symbol
_atom_site_fract_x
_atom_site_fract_y
_atom_site_fract_z
_atom_site_occupancy
Sr1 Sr 0.1796 0.3593 0.2500 1
Li1 Li 0.1329 0.5665 0.7500 1

---

(5)
# BeCdAs (PBE, optimized geometry)
# energy above the most stable polymorph in this dataset = 0.377 eV/atom
# formation energy = 0.338 eV per atom
data_BeCdAs
_space_group_name_H-M_alt 'F m m 2'
_space_group_IT_number 42
_space_group_name_Hall 'F 2 -2'
_cell_length_a 3.7793
_cell_length_b 4.8748
_cell_length_c 11.7007
_cell_angle_alpha 90.00
_cell_angle_beta 90.00
_cell_angle_gamma 90.00
loop_
_atom_site_label
_atom_site_type_symbol
_atom_site_fract_x
_atom_site_fract_y
_atom_site_fract_z
_atom_site_occupancy
Be1 Be 0.0000 0.0000 0.0000 1
Cd1 Cd 0.0000 0.0000 0.3358 1
As1 As 0.0000 0.0000 0.6047 1

---

(6)
# AsPt2Br (PBE, optimized geometry)
# energy above the most stable polymorph in this dataset = 0.337 eV/atom
# raw formation energy = 0.1724 eV per atom
data_AsPt2Br
_space_group_name_H-M_alt 'P 1 2/m 1'
_space_group_IT_number 10
_cell_length_a 4.8869
_cell_length_b 3.5307
_cell_length_c 5.3904
_cell_angle_alpha 90.00
_cell_angle_beta 91.72
_cell_angle_gamma 90.00
loop_
_space_group_symop_operation_xyz
'x,y,z'
'-x,-y,-z'
'-x,y,-z'
'x,-y,z'
loop_
_atom_site_label
_atom_site_type_symbol
_atom_site_fract_x
_atom_site_fract_y
_atom_site_fract_z
_atom_site_occupancy
As1 As 0.0000 0.0000 0.0000 1
Pt1 Pt 0.2784 0.5000 0.8374 1
Br1 Br 0.5000 0.0000 0.5000 1

---

(7)
# Li2Mn2I7 (PBE, optimized geometry)
# raw formation energy = -0.5873 eV per atom
data_Li2Mn2I7
_space_group_name_H-M_alt 'C 1 2/m 1'
_space_group_IT_number 12
_cell_length_a 11.2605
_cell_length_b 12.2658
_cell_length_c 7.2998
_cell_angle_alpha 90.00
_cell_angle_beta 113.67
_cell_angle_gamma 90.00
loop_
_space_group_symop_operation_xyz
'x,y,z'
'-x,-y,-z'
'-x,y,-z'
'x,-y,z'
'x+1/2,y+1/2,z'
'-x+1/2,-y+1/2,-z'
'-x+1/2,y+1/2,-z'
'x+1/2,-y+1/2,z'
loop_
_atom_site_label
_atom_site_type_symbol
_atom_site_fract_x
_atom_site_fract_y
_atom_site_fract_z
_atom_site_occupancy
Li1 Li 0.0000 0.1857 0.0000 1
Mn1 Mn 0.2037 0.5000 0.3940 1
I1 I 0.0000 0.5000 0.5000 1
I2 I 0.0772 0.0000 0.2754 1
I3 I 0.2155 0.3202 0.2080 1

---

(8)
# Sr2NdHg10 (PBE, optimized geometry)
# formation energy = -0.177 eV per atom
data_Sr2NdHg10
_space_group_name_H-M_alt 'P b a m'
_space_group_IT_number 55
_cell_length_a 11.3064
_cell_length_b 11.3591
_cell_length_c 7.0113
_cell_angle_alpha 90.00
_cell_angle_beta 90.00
_cell_angle_gamma 90.00
loop_
_space_group_symop_operation_xyz
'x,y,z'
'-x,-y,-z'
'-x,-y,z'
'x,y,-z'
'x+1/2,-y+1/2,-z'
'-x+1/2,y+1/2,z'
'-x+1/2,y+1/2,-z'
'x+1/2,-y+1/2,z'
loop_
_atom_site_label
_atom_site_type_symbol
_atom_site_fract_x
_atom_site_fract_y
_atom_site_fract_z
_atom_site_occupancy
Sr1 Sr 0.1103 0.1623 0.0000 1
Nd1 Nd 0.0000 0.0000 0.5000 1
Hg1 Hg 0.0381 0.7152 0.5000 1
Hg2 Hg 0.1445 0.4720 0.5000 1
Hg3 Hg 0.1763 0.8777 0.2049 1
Hg4 Hg 0.2026 0.1886 0.5000 1

---

(9)
# SrMg3 (PBE, optimized geometry)
# formation energy = 0.093 eV per atom
data_SrMg3
_space_group_name_H-M_alt 'P m -3 n'
_space_group_IT_number 223
_space_group_name_Hall '-P 4n 2 3'
_cell_length_a 6.2472
_cell_length_b 6.2472
_cell_length_c 6.2472
_cell_angle_alpha 90.00
_cell_angle_beta 90.00
_cell_angle_gamma 90.00
loop_
_atom_site_label
_atom_site_type_symbol
_atom_site_fract_x
_atom_site_fract_y
_atom_site_fract_z
_atom_site_occupancy
Sr1 Sr 0.0000 0.0000 0.0000 1
Mg1 Mg 0.0000 0.2500 0.5000 1

---

(10)
# ZrPaCo (PBE, optimized geometry)
# energy above the most stable polymorph in this dataset = 0.151 eV/atom
# formation energy = -0.143 eV per atom
data_ZrPaCo
_space_group_name_H-M_alt 'I 4 m m'
_space_group_IT_number 107
_space_group_name_Hall 'I 4 -2'
_cell_length_a 3.4087
_cell_length_b 3.4087
_cell_length_c 10.2279
_cell_angle_alpha 90.00
_cell_angle_beta 90.00
_cell_angle_gamma 90.00
loop_
_atom_site_label
_atom_site_type_symbol
_atom_site_fract_x
_atom_site_fract_y
_atom_site_fract_z
_atom_site_occupancy
Zr1 Zr 0.0000 0.0000 0.0000 1
Pa1 Pa 0.0000 0.0000 0.7069 1
Co1 Co 0.0000 0.0000 0.3049 1

---

(11)
# Rb2LiNp3O12 (PBE, optimized geometry)
# raw formation energy = -2.4504 eV per atom
data_Rb2LiNp3O12
_space_group_name_H-M_alt 'R -3 m'
_space_group_IT_number 166
_space_group_name_Hall '-R 3 2"'
_cell_length_a 7.9403
_cell_length_b 7.9403
_cell_length_c 17.6406
_cell_angle_alpha 90.00
_cell_angle_beta 90.00
_cell_angle_gamma 120.00
loop_
_atom_site_label
_atom_site_type_symbol
_atom_site_fract_x
_atom_site_fract_y
_atom_site_fract_z
_atom_site_occupancy
Rb1 Rb 0.0000 0.0000 0.1245 1
Li1 Li 0.0000 0.0000 0.5000 1
Np1 Np 0.0000 0.5000 0.0000 1
O1 O 0.0716 0.5358 0.1008 1
O2 O 0.0744 0.5372 0.3571 1

---

(12)
# La2Sm8Mg (PBE, optimized geometry)
# energy above the most stable polymorph in this dataset = 0.000 eV/atom
# formation energy = 0.109 eV per atom
data_La2Sm8Mg
_space_group_name_H-M_alt 'I m m m'
_space_group_IT_number 71
_space_group_name_Hall '-I 2 2'
_cell_length_a 5.6643
_cell_length_b 7.8068
_cell_length_c 17.1145
_cell_angle_alpha 90.00
_cell_angle_beta 90.00
_cell_angle_gamma 90.00
loop_
_atom_site_label
_atom_site_type_symbol
_atom_site_fract_x
_atom_site_fract_y
_atom_site_fract_z
_atom_site_occupancy
La1 La 0.0000 0.0000 0.1953 1
Sm1 Sm 0.0000 0.2357 0.0000 1
Sm2 Sm 0.0000 0.2792 0.3665 1
Sm3 Sm 0.0000 0.5000 0.1725 1
Mg1 Mg 0.0000 0.0000 0.5000 1

---

Short version: volume = 19.0; 27.0; 32.7; 39.5; 18.0; 23.2; 42.0; 34.6; 30.5; 19.8; 17.8; 34.4 Å³/atom, in the order given.
Short version: total magnetic moment = 0.00; 2.00; 0.00; 0.00; 0.00; 0.00; 9.00; 0.00; 0.00; 0.00; 0.00; 0.00 μB/f.u., in the order given.